<one>
Material: AcTbHo4
Method: DFT, PBE
State: relaxed

Summary:
V = 198 Å³ per cell
M_tot = 0.000 μB/cell
density of states at the Fermi level = 9.4 states/eV/f.u.

Lattice parameters (Å, degrees): 5.7067 5.7067 7.0172 90.00 90.00 120.00
Space group P6/mmm (No. 191)
Symmetry-distinct sites (fractional):
Ac: 0.0000 0.0000 0.0000
Tb: 0.0000 0.0000 0.5000
Ho: 0.3333 0.6667 0.2578



<two>
Material: AcTbHo4
Method: DFT, PBE
State: relaxed

Summary:
V = 801 Å³ per cell
M_tot = 0.000 μB/cell
density of states at the Fermi level = 9.9 states/eV/f.u.

Lattice parameters (Å, degrees): 10.686 13.315 6.683 90.00 122.66 90.00
Space group C2/c (No. 15)
Symmetry-distinct sites (fractional):
Ac: 0.000 0.074 0.250
Tb: 0.000 0.191 0.750
Ho: 0.159 0.422 0.745
Ho: 0.165 0.316 0.246



Most favorable structure: <two>. The second most favorable one is 16 meV per atom above it.



<one>
Material: AcHo2Te
Method: DFT, PBE
State: relaxed

Summary:
V = 412 Å³ per cell
M_tot = 0.002 μB/cell
density of states at the Fermi level = 5.3 states/eV/f.u.

Lattice parameters (Å, degrees): 3.9520 3.9520 30.4935 90.00 90.00 120.00
Space group R3m (No. 160, hexagonal axes)
Symmetry-distinct sites (fractional):
Ac: 0.0000 0.0000 0.0000
Ho: 0.0000 0.0000 0.5671
Ho: 0.0000 0.0000 0.7660
Te: 0.0000 0.0000 0.1665



<two>
Material: AcHo2Te
Method: DFT, PBE
State: relaxed

Summary:
V = 126 Å³ per cell
M_tot = 0.000 μB/cell
density of states at the Fermi level = 4.9 states/eV/f.u.

Lattice parameters (Å, degrees): 3.870 3.870 8.398 90.00 90.00 90.00
Space group P4/mmm (No. 123)
Symmetry-distinct sites (fractional):
Ac: 0.000 0.000 0.000
Ho: 0.500 0.500 0.291
Te: 0.000 0.000 0.500



Most favorable structure: <two>. The second most favorable one is 18 meV per atom above it.



<one>
Material: Ac2HoTe4
Method: DFT, PBE
State: relaxed

Summary:
V = 1070 Å³ per cell
M_tot = 0.000 μB/cell
density of states at the Fermi level = 2.6 states/eV/f.u.

Lattice parameters (Å, degrees): 4.384 15.642 15.604 90.00 90.00 90.00
Space group Cmcm (No. 63)
Symmetry-distinct sites (fractional):
Ac: 0.000 0.132 0.076
Ho: 0.000 0.369 0.250
Te: 0.000 0.011 0.250
Te: 0.000 0.213 0.628
Te: 0.000 0.500 0.000



<two>
Material: Ac2HoTe4
Method: DFT, PBE
State: relaxed

Summary:
V = 515 Å³ per cell
M_tot = 0.000 μB/cell
density of states at the Fermi level = 1.2 states/eV/f.u.

Lattice parameters (Å, degrees): 14.701 4.402 9.341 90.00 121.64 90.00
Space group C2/m (No. 12)
Symmetry-distinct sites (fractional):
Ac: 0.144 0.000 0.199
Ho: 0.000 0.500 0.500
Te: 0.061 0.500 0.869
Te: 0.164 0.000 0.577



Most favorable structure: <two>. The second most favorable one is 93 meV per atom above it.



<one>
Material: Ac2HoTh
Method: DFT, PBE
State: relaxed

Summary:
V = 151 Å³ per cell
M_tot = 0.000 μB/cell
density of states at the Fermi level = 7.7 states/eV/f.u.

Lattice parameters (Å, degrees): 3.770 3.770 10.603 90.00 90.00 90.00
Space group P4/mmm (No. 123)
Symmetry-distinct sites (fractional):
Ac: 0.000 0.000 0.248
Ho: 0.500 0.500 0.500
Th: 0.500 0.500 0.000



<two>
Material: Ac2HoTh
Method: DFT, PBE
State: relaxed

Summary:
V = 608 Å³ per cell
M_tot = 0.010 μB/cell
density of states at the Fermi level = 10.7 states/eV/f.u.

Lattice parameters (Å, degrees): 8.470 8.470 8.470 90.00 90.00 90.00
Space group Fm-3m (No. 225)
Symmetry-distinct sites (fractional):
Ac: 0.250 0.250 0.250
Ho: 0.000 0.000 0.000
Th: 0.000 0.000 0.500



Most favorable structure: <one>. The second most favorable one is 137 meV per atom above it.



<one>
Material: Ac2HoTh
Method: DFT, PBE
State: relaxed

Summary:
V = 151 Å³ per cell
M_tot = 0.000 μB/cell
density of states at the Fermi level = 5.6 states/eV/f.u.

Lattice parameters (Å, degrees): 5.322 5.322 5.325 90.00 90.00 90.00
Space group P4/mmm (No. 123)
Symmetry-distinct sites (fractional):
Ac: 0.000 0.500 0.000
Ho: 0.000 0.000 0.500
Th: 0.500 0.500 0.500



<two>
Material: Ac2HoTh
Method: DFT, PBE
State: relaxed

Summary:
V = 461 Å³ per cell
M_tot = 0.003 μB/cell
density of states at the Fermi level = 6.1 states/eV/f.u.

Lattice parameters (Å, degrees): 3.6751 3.6751 39.4325 90.00 90.00 120.00
Space group R-3m (No. 166, hexagonal axes)
Symmetry-distinct sites (fractional):
Ac: 0.0000 0.0000 0.0895
Ho: 0.0000 0.0000 0.5000
Th: 0.0000 0.0000 0.0000



Most favorable structure: <one>. The second most favorable one is 161 meV per atom above it.



<one>
Material: AcHoTh2
Method: DFT, PBE
State: relaxed

Summary:
V = 140 Å³ per cell
M_tot = 0.000 μB/cell
density of states at the Fermi level = 6.4 states/eV/f.u.

Lattice parameters (Å, degrees): 4.235 4.235 7.816 90.00 90.00 90.00
Space group P4/mmm (No. 123)
Symmetry-distinct sites (fractional):
Ac: 0.000 0.000 0.000
Ho: 0.000 0.000 0.500
Th: 0.500 0.500 0.284



<two>
Material: AcHoTh2
Method: DFT, PBE
State: relaxed

Summary:
V = 424 Å³ per cell
M_tot = 0.000 μB/cell
density of states at the Fermi level = 6.0 states/eV/f.u.

Lattice parameters (Å, degrees): 3.5779 3.5779 38.2544 90.00 90.00 120.00
Space group R-3m (No. 166, hexagonal axes)
Symmetry-distinct sites (fractional):
Ac: 0.0000 0.0000 0.0000
Ho: 0.0000 0.0000 0.5000
Th: 0.0000 0.0000 0.0911



<three>
Material: AcHoTh2
Method: DFT, PBE
State: relaxed

Summary:
V = 414 Å³ per cell
M_tot = 0.000 μB/cell
density of states at the Fermi level = 5.5 states/eV/f.u.

Lattice parameters (Å, degrees): 3.6504 3.6504 35.9023 90.00 90.00 120.00
Space group R3m (No. 160, hexagonal axes)
Symmetry-distinct sites (fractional):
Ac: 0.0000 0.0000 0.0000
Ho: 0.0000 0.0000 0.1688
Th: 0.0000 0.0000 0.5810
Th: 0.0000 0.0000 0.7545



Most favorable structure: <three>. The second most favorable one is 101 meV per atom above it.